## Pm6NdSm (PBE)

Data for a geometry-optimized Pm6NdSm structure.

Cell and atoms, written as POSCAR:
```
Pm6NdSm
1.0
5.1589 0.0000 0.0000
0.0000 5.1589 0.0000
0.0000 0.0000 10.3197
Pm Nd Sm
6 1 1
Direct
0.0000 0.5000 0.2509 Pm
0.5000 0.5000 0.5000 Pm
0.5000 0.0000 0.2509 Pm
0.5000 0.0000 0.7491 Pm
0.5000 0.5000 0.0000 Pm
0.0000 0.5000 0.7491 Pm
0.0000 0.0000 0.0000 Nd
0.0000 0.0000 0.5000 Sm
```

Output
- Fermi-level density of states (states/eV per cell) = 13.2
- symmetry = P4/mmm, No. 123
- calculated formation energy (meV per atom) = 15

***

## Ta2TcP (PBE)

Data for a geometry-optimized Ta2TcP structure.

Cell and atoms, written as POSCAR:
```
Ta2TcP
1.0
3.2365 0.0000 0.0000
0.0000 3.2362 0.0000
0.0000 0.0000 6.1146
P Ta Tc
1 2 1
Direct
0.5000 0.5000 0.7685 P
0.0000 0.0000 0.9636 Ta
0.5000 0.5000 0.2731 Ta
0.0000 0.0000 0.4948 Tc
```

Output
- Fermi-level density of states (states/eV per cell) = 2.9
- symmetry = P4mm, No. 99
- calculated formation energy (meV per atom) = -250